Material: Ce3GaGe2
Method: DFT, PBE-GGA
State: optimized geometry

Computed properties:
ρ   7.68 g/cm3
DFT formation energy   -0.593 eV/atom
Spin magnetization   1.96 Bohr magnetons per cell
Energy above the lowest structure with this stoichiometry   5.1 meV per atom

abc: 8.519 8.519 8.519
angles: 148.10 121.50 68.19
Fractional positions:
1 Ce 0.000 0.000 0.000
2 Ce 0.173 0.666 0.507
3 Ce 0.341 0.334 0.007
4 Ce 0.500 0.000 0.500
5 Ce 0.659 0.666 0.993
6 Ce 0.827 0.334 0.493
7 Ga 0.077 0.827 0.250
8 Ga 0.923 0.173 0.750
9 Ge 0.240 0.490 0.750
10 Ge 0.414 0.164 0.250
11 Ge 0.586 0.836 0.750
12 Ge 0.760 0.510 0.250